1.
This record from the Alexandria database describes a relaxed Tb5CeY12 crystal. The functional is GGA-PBE.

Cell: 10.7136 10.7136 5.0518 Å, 90.00 90.00 90.09°
With the nearest neighbours (Å) after each atom.
Fractional coordinates of all 18 atoms:
Tb 0.0000 0.0000 0.0000  8 Y 3.55-3.57, 4 Tb 3.57
Tb 0.1668 0.8332 0.5000  8 Y 3.56-3.57, 4 Tb 3.57-3.59
Tb 0.3347 0.6653 0.0000  8 Y 3.54-3.58, 2 Ce 3.56, 2 Tb 3.59
Tb 0.6653 0.3347 0.0000  8 Y 3.54-3.58, 2 Ce 3.56, 2 Tb 3.59
Tb 0.8332 0.1668 0.5000  8 Y 3.56-3.57, 4 Tb 3.57-3.59
Ce 0.5000 0.5000 0.5000  8 Y 3.55-3.56, 4 Tb 3.56
Y 0.0007 0.6684 0.0000  4 Tb 3.55-3.58, 8 Y 3.57-3.61
Y 0.1663 0.1663 0.5000  4 Tb 3.57, 8 Y 3.57-3.59
Y 0.1673 0.5008 0.5000  3 Tb 3.56, 1 Ce 3.56, 8 Y 3.57-3.59
Y 0.3316 0.9993 0.0000  4 Tb 3.55-3.58, 8 Y 3.57-3.61
Y 0.3352 0.3352 0.0000  2 Tb 3.54, 2 Ce 3.55, 8 Y 3.57-3.60
Y 0.4992 0.8327 0.5000  3 Tb 3.56, 1 Ce 3.56, 8 Y 3.57-3.59
Y 0.5008 0.1673 0.5000  3 Tb 3.56, 1 Ce 3.56, 8 Y 3.57-3.59
Y 0.6648 0.6648 0.0000  2 Tb 3.54, 2 Ce 3.55, 8 Y 3.57-3.60
Y 0.6684 0.0007 0.0000  4 Tb 3.55-3.58, 8 Y 3.57-3.61
Y 0.8327 0.4992 0.5000  3 Tb 3.56, 1 Ce 3.56, 8 Y 3.57-3.59
Y 0.8337 0.8337 0.5000  4 Tb 3.57, 8 Y 3.57-3.59
Y 0.9993 0.3316 0.0000  4 Tb 3.55-3.58, 8 Y 3.57-3.61

Output
The value obtained for the energy relative to the elements is 34 meV/atom. For the density, the calculation gives 5.7 Mg/m³. As for the space-group type: Cmmm, No. 65. The calculation puts the density of states at the Fermi level at 29.2 states/eV/cell.

---

2.
This record from the Alexandria database describes a relaxed KZrCr2 crystal. The functional is GGA-PBE.

Cell: 10.7031 10.7031 10.7031 Å, 17.33 17.33 17.33°
With the nearest neighbours (Å) after each atom.
Fractional coordinates of all 4 atoms:
K 0.0000 0.0000 0.0000  6 K 3.23
Zr 0.5000 0.5000 0.5000  6 Cr 2.84
Cr 0.2347 0.2347 0.2347  3 Zr 2.84
Cr 0.7653 0.7653 0.7653  3 Zr 2.84

Output
The value obtained for the energy relative to the elements is 954 meV/atom. For the density, the calculation gives 4.1 Mg/m³. As for the space-group type: R-3m, No. 166. The calculation puts the density of states at the Fermi level at 4.0 states/eV/cell. As for the polymorph energy (0 for the lowest one): 357.5 meV per atom.

---

3.
This record from the Alexandria database describes a relaxed BeSiS2N crystal. The functional is GGA-PBE.

Cell: 4.5883 4.5883 3.1886 Å, 90.00 90.00 90.00°
With the nearest neighbours (Å) after each atom.
Fractional coordinates of all 5 atoms:
Be 0.0000 0.0000 0.0000  2 N 1.59
Si 0.5000 0.5000 0.5000  8 S 2.79
S 0.0000 0.5000 0.0000  2 Be 2.29
S 0.5000 0.0000 0.0000  2 Be 2.29
N 0.0000 0.0000 0.5000  2 Be 1.59

Output
For the density, the calculation gives 2.9 Mg/m³. As for the space-group type: P4/mmm, No. 123. The calculation puts the density of states at the Fermi level at 1.9 states/eV/cell. As for the polymorph energy (0 for the lowest one): 112.7 meV per atom.

---

4.
This record from the Alexandria database describes a relaxed LiHfP2S crystal. The functional is GGA-PBE.

Cell: 5.0060 5.0060 4.9598 Å, 90.00 90.00 90.00°
With the nearest neighbours (Å) after each atom.
Fractional coordinates of all 5 atoms:
Li 0.0000 0.0000 0.0000  8 P 3.52, 4 S 3.54
Hf 0.5000 0.5000 0.5000  2 S 2.48, 4 P 2.50
P 0.0000 0.5000 0.5000  2 Hf 2.50
P 0.5000 0.0000 0.5000  2 Hf 2.50
S 0.5000 0.5000 0.0000  2 Hf 2.48

Output
For the density, the calculation gives 3.7 Mg/m³. As for the space-group type: P4/mmm, No. 123. The calculation puts the density of states at the Fermi level at 4.2 states/eV/cell. As for the polymorph energy (0 for the lowest one): 0.0 meV per atom.

---

5.
This record from the Alexandria database describes a relaxed PrNd4H10 crystal. The functional is GGA-PBE.

Cell: 16.0034 16.0034 16.0034 Å, 13.92 13.92 13.92°
With the nearest neighbours (Å) after each atom.
Fractional coordinates of all 15 atoms:
Pr 0.0000 0.0000 0.0000  8 H 2.39-2.40
Nd 0.1999 0.1999 0.1999  8 H 2.37
Nd 0.4003 0.4003 0.4003  8 H 2.37
Nd 0.5997 0.5997 0.5997  8 H 2.37
Nd 0.8001 0.8001 0.8001  8 H 2.37
H 0.0505 0.0505 0.0505  3 Nd 2.37, 1 Pr 2.40
H 0.1500 0.1500 0.1500  4 Nd 2.37
H 0.2498 0.2498 0.2498  4 Nd 2.37
H 0.3506 0.3506 0.3506  1 Nd 2.37, 3 Pr 2.39
H 0.4502 0.4502 0.4502  4 Nd 2.37
H 0.5498 0.5498 0.5498  4 Nd 2.37
H 0.6494 0.6494 0.6494  1 Nd 2.37, 3 Pr 2.39
H 0.7502 0.7502 0.7502  4 Nd 2.37
H 0.8500 0.8500 0.8500  4 Nd 2.37
H 0.9495 0.9495 0.9495  3 Nd 2.37, 1 Pr 2.40

Output
For the density, the calculation gives 5.9 Mg/m³. As for the space-group type: R-3m, No. 166. The calculation puts the density of states at the Fermi level at 5.6 states/eV/cell. The uncorrected energy is -4.4690 eV per atom.

---

6.
This record from the Alexandria database describes a relaxed Ce2HoTmS5 crystal. The functional is GGA-PBE.

Cell: 4.8609 4.8609 10.2429 Å, 90.00 90.00 90.00°
With the nearest neighbours (Å) after each atom.
Fractional coordinates of all 9 atoms:
Ce 0.0000 0.0000 0.2017  5 S 3.06-3.19
Ce 0.0000 0.0000 0.7983  5 S 3.06-3.19
Ho 0.5000 0.5000 0.5000  2 S 2.51
Tm 0.5000 0.5000 0.0000  6 S 2.43-2.61
S 0.0000 0.0000 0.5000  2 Ce 3.06
S 0.0000 0.5000 0.0000  2 Tm 2.43
S 0.5000 0.0000 0.0000  2 Tm 2.43
S 0.5000 0.5000 0.2550  1 Ho 2.51, 1 Tm 2.61
S 0.5000 0.5000 0.7450  1 Ho 2.51, 1 Tm 2.61

Output
For the density, the calculation gives 5.3 Mg/m³. As for the space-group type: P4/mmm, No. 123. The calculation puts the density of states at the Fermi level at 18.4 states/eV/cell. The uncorrected energy is -6.1345 eV per atom.

---

7.
This record from the Alexandria database describes a relaxed MnTlFe2Cl8 crystal. The functional is GGA-PBE.

Cell: 6.3862 6.3862 9.3184 Å, 93.95 93.95 68.89°
With the nearest neighbours (Å) after each atom.
Fractional coordinates of all 12 atoms:
Mn 0.0000 0.0000 0.0000  6 Cl 2.52-2.58
Tl 0.0000 0.0000 0.5000  6 Cl 3.31
Fe 0.3765 0.3765 0.2099  4 Cl 2.20-2.30
Fe 0.6235 0.6235 0.7901  4 Cl 2.20-2.30
Cl 0.2391 0.7463 0.7986  1 Fe 2.30
Cl 0.2403 0.2403 0.0104  1 Fe 2.25
Cl 0.2537 0.7609 0.2014  1 Fe 2.30
Cl 0.3012 0.3012 0.4233  1 Fe 2.20
Cl 0.6988 0.6988 0.5767  1 Fe 2.20
Cl 0.7463 0.2391 0.7986  1 Fe 2.30
Cl 0.7597 0.7597 0.9896  1 Fe 2.25
Cl 0.7609 0.2537 0.2014  1 Fe 2.30

Output
For the density, the calculation gives 3.1 Mg/m³. As for the space-group type: C2/m, No. 12. The calculation puts the density of states at the Fermi level at 8.9 states/eV/cell. The uncorrected energy is -4.4718 eV per atom.

---

8.
This record from the Alexandria database describes a relaxed PmAs12Ir4 crystal. The functional is GGA-PBE.

Cell: 7.5240 7.5240 7.5240 Å, 109.47 109.47 109.47°
With the nearest neighbours (Å) after each atom.
Fractional coordinates of all 17 atoms:
Pm 0.0000 0.0000 0.0000  12 As 3.23
As 0.1440 0.3427 0.4867  2 Ir 2.49, 2 As 2.50-2.73
As 0.1440 0.6573 0.8013  2 Ir 2.49, 2 As 2.50-2.73
As 0.1987 0.8560 0.3427  2 Ir 2.49, 2 As 2.50-2.73
As 0.3427 0.1987 0.8560  2 Ir 2.49, 2 As 2.50-2.73
As 0.3427 0.4867 0.1440  2 Ir 2.49, 2 As 2.50-2.73
As 0.4867 0.1440 0.3427  2 Ir 2.49, 2 As 2.50-2.73
As 0.5133 0.8560 0.6573  2 Ir 2.49, 2 As 2.50-2.73
As 0.6573 0.5133 0.8560  2 Ir 2.49, 2 As 2.50-2.73
As 0.6573 0.8013 0.1440  2 Ir 2.49, 2 As 2.50-2.73
As 0.8013 0.1440 0.6573  2 Ir 2.49, 2 As 2.50-2.73
As 0.8560 0.3427 0.1987  2 Ir 2.49, 2 As 2.50-2.73
As 0.8560 0.6573 0.5133  2 Ir 2.49, 2 As 2.50-2.73
Ir 0.0000 0.0000 0.5000  6 As 2.49
Ir 0.0000 0.5000 0.0000  6 As 2.49
Ir 0.5000 0.0000 0.0000  6 As 2.49
Ir 0.5000 0.5000 0.5000  6 As 2.49

Output
The value obtained for the energy relative to the elements is -459 meV/atom. For the density, the calculation gives 9.2 Mg/m³. As for the space-group type: Im-3, No. 204. The calculation puts the density of states at the Fermi level at 5.4 states/eV/cell.